No. 1
CaIrRh2: relaxed, PBE.

```
4
Lattice="-2.230 -1.441 4.652 -0.942 -3.752 3.704 3.013 0.079 3.901" Properties=species:S:1:pos:R:3 pbc="T T T"
Ir 0.207 -3.776 9.491
Ca -0.321 -2.563 5.815
Rh 2.724 0.064 3.545
Rh 0.164 -1.318 3.436
```

size of the total moment: 0.00 Bohr magnetons per cell
DOS at the Fermi energy: 0.83 states/eV/atom
ΔE to the lowest computed polymorph: 0.00 eV/f.u.
energy relative to the elements: -0.0970 eV/atom

No. 2
AlCrP4: relaxed, PBE.

```
6
Lattice="-2.773 -3.747 1.963 -4.844 0.807 1.214 -3.682 -2.125 -2.741" Properties=species:S:1:pos:R:3 pbc="T T T"
P -4.241 -1.901 0.164
P -6.656 -1.499 0.769
P -6.077 -2.961 -1.203
P -5.624 -3.770 1.142
Al -8.474 -3.799 0.327
Cr 0.000 0.000 0.000
```

size of the total moment: 3.94 Bohr magnetons per cell
DOS at the Fermi energy: 0.55 states/eV/atom
energy relative to the elements: 0.6094 eV/atom

No. 3
KAu4Cl: relaxed, PBE.

```
6
Lattice="0.000 4.031 4.031 4.031 0.000 4.031 4.031 4.031 0.000" Properties=species:S:1:pos:R:3 pbc="T T T"
K 0.000 0.000 0.000
Au 5.039 5.039 3.024
Au 3.024 3.024 3.024
Au 3.024 5.039 5.039
Au 5.039 3.024 5.039
Cl 6.047 6.047 6.047
```

size of the total moment: 0.00 Bohr magnetons per cell
DOS at the Fermi energy: 0.03 states/eV/atom
E_form (uncorrected): -280 meV/atom

No. 4
MgRe2Ru: relaxed, PBE.

```
4
Lattice="-4.962 0.016 -0.694 2.276 -4.368 0.919 -0.375 0.370 2.688" Properties=species:S:1:pos:R:3 pbc="T T T"
Re 0.000 0.000 0.000
Re -1.343 -2.176 0.113
Mg 0.951 -1.999 1.803
Ru -2.668 0.193 0.997
```

size of the total moment: 0.00 Bohr magnetons per cell
DOS at the Fermi energy: 0.82 states/eV/atom
energy relative to the elements: 0.2977 eV/atom

No. 5
Mn2Pt3Rh2: relaxed, PBE.

```
7
Lattice="-1.277 3.139 1.969 -2.889 -3.719 0.154 6.130 -1.973 3.215" Properties=species:S:1:pos:R:3 pbc="T T T"
Pt 0.122 -2.060 3.358
Pt 0.000 0.000 0.000
Pt 1.841 -0.493 1.980
Mn 3.716 -0.920 3.872
Mn -1.752 -1.633 1.466
Rh -0.664 0.528 2.627
Rh 2.628 -3.081 2.711
```

size of the total moment: 7.53 Bohr magnetons per cell
DOS at the Fermi energy: 1.25 states/eV/atom
energy relative to the elements: -0.2104 eV/atom

No. 6
Hg2SbSe: relaxed, PBE.

```
8
Lattice="6.495 0.000 0.000 0.000 6.495 0.000 3.248 3.248 6.251" Properties=species:S:1:pos:R:3 pbc="T T T"
Hg 1.682 4.871 1.563
Hg 4.813 1.624 1.563
Hg 8.119 8.061 4.688
Hg 4.871 4.929 4.688
Se 3.248 6.495 3.125
Se 3.248 3.248 0.000
Sb 0.000 0.000 0.000
Sb 6.495 3.248 3.125
```

size of the total moment: 0.00 Bohr magnetons per cell
DOS at the Fermi energy: 0.80 states/eV/atom
E_form (uncorrected): 35 meV/atom

No. 7
Tb6AuS5: relaxed, PBE.

```
12
Lattice="6.772 -0.109 -1.277 -3.662 5.697 -1.277 0.130 0.234 6.873" Properties=species:S:1:pos:R:3 pbc="T T T"
Tb 0.897 1.613 4.463
Tb 2.621 0.488 1.095
Tb 4.206 3.337 3.225
Tb 0.619 5.333 3.225
Tb -0.966 2.484 1.095
Tb 2.342 4.209 -0.143
S 1.620 2.911 2.160
S -1.867 4.852 2.160
S -0.175 3.757 -1.277
S 3.285 1.831 -1.277
S 5.107 0.970 2.160
Au 0.000 0.000 0.000
```

size of the total moment: 0.00 Bohr magnetons per cell
DOS at the Fermi energy: 0.40 states/eV/atom
E_form (uncorrected): -1810 meV/atom

No. 8
PRhI3: relaxed, PBE.

```
5
Lattice="-0.307 5.109 1.714 1.124 -1.618 5.025 5.271 0.642 -0.972" Properties=species:S:1:pos:R:3 pbc="T T T"
P 3.044 2.067 2.884
I -0.153 2.555 0.857
I 0.562 -0.809 2.513
I 2.635 0.321 -0.486
Rh 0.000 0.000 0.000
```

size of the total moment: 1.58 Bohr magnetons per cell
DOS at the Fermi energy: 0.92 states/eV/atom
ΔE to the lowest computed polymorph: 0.00 eV/f.u.
E_form (uncorrected): 689 meV/atom